Record 1
HoEr3Ga4 (PBE-GGA, relaxed); energy above the most stable polymorph in this dataset = 0 meV/atom; space group = R-3m, No. 166
1.0
2.504 1.445 8.201
-2.504 1.445 8.201
0.000 -2.891 8.201
Ho Er Ga
1 3 4
Direct
0.000 0.000 0.000 Ho
0.250 0.250 0.250 Er
0.500 0.500 0.500 Er
0.750 0.750 0.750 Er
0.125 0.125 0.125 Ga
0.375 0.375 0.375 Ga
0.625 0.625 0.625 Ga
0.875 0.875 0.875 Ga

***

Record 2
Ho4ErGa4 (PBE-GGA, relaxed); space group = P4_2/n, No. 86
1.0
8.962 0.000 0.000
0.000 8.962 0.000
0.000 0.000 5.943
Ho Er Ga
8 2 8
Direct
0.065 0.660 0.129 Ho
0.160 0.935 0.629 Ho
0.340 0.565 0.629 Ho
0.435 0.840 0.129 Ho
0.565 0.160 0.871 Ho
0.660 0.435 0.371 Ho
0.840 0.065 0.371 Ho
0.935 0.340 0.871 Ho
0.250 0.250 0.250 Er
0.750 0.750 0.750 Er
0.022 0.620 0.617 Ga
0.120 0.978 0.117 Ga
0.380 0.522 0.117 Ga
0.478 0.880 0.617 Ga
0.522 0.120 0.383 Ga
0.620 0.478 0.883 Ga
0.880 0.022 0.883 Ga
0.978 0.380 0.383 Ga

***

Record 3
Ho5ErGa6 (PBE-GGA, relaxed); space group = Cmmm, No. 65
1.0
2.511 -7.535 0.000
2.511 7.535 0.000
0.000 0.000 7.092
Ho Er Ga
5 1 6
Direct
0.000 0.000 0.000 Ho
0.333 0.667 0.000 Ho
0.333 0.667 0.500 Ho
0.667 0.333 0.000 Ho
0.667 0.333 0.500 Ho
0.000 0.000 0.500 Er
0.166 0.834 0.251 Ga
0.166 0.834 0.749 Ga
0.500 0.500 0.251 Ga
0.500 0.500 0.749 Ga
0.834 0.166 0.251 Ga
0.834 0.166 0.749 Ga

***

Number 1: energy relative to the elements -0.574 eV per atom, E -4.371 eV/atom. Number 2: energy relative to the elements -0.362 eV per atom, E -4.248 eV/atom. Number 3: energy relative to the elements -0.580 eV per atom, E -4.381 eV/atom.